Arrangement 1

The following is a PBE calculation of a geometry-optimized Li2HS structure, from Alexandria.

```
data_Li2HS
_chemical_formula_sum 'Li8 H4 S4'
_cell_length_a 5.7566
_cell_length_b 5.7566
_cell_length_c 5.7566
_cell_angle_alpha 90.00
_cell_angle_beta 90.00
_cell_angle_gamma 90.00
_space_group_name_H-M_alt 'F m -3 m'
_space_group_IT_number 225
_space_group_name_Hall '-F 4 2 3'
loop_
_atom_site_label
_atom_site_type_symbol
_atom_site_fract_x
_atom_site_fract_y
_atom_site_fract_z
Li1 Li 0.2500 0.2500 0.2500
H1 H 0.0000 0.0000 0.0000
S1 S 0.0000 0.0000 0.5000
```

***

Arrangement 2

The following is a PBE calculation of a geometry-optimized Li2HS structure, from Alexandria.

```
data_Li2HS
_chemical_formula_sum 'Li8 H4 S4'
_cell_length_a 3.5195
_cell_length_b 8.7603
_cell_length_c 6.1138
_cell_angle_alpha 90.00
_cell_angle_beta 90.00
_cell_angle_gamma 90.00
_space_group_name_H-M_alt 'C m c m'
_space_group_IT_number 63
_space_group_name_Hall '-C 2c 2'
loop_
_atom_site_label
_atom_site_type_symbol
_atom_site_fract_x
_atom_site_fract_y
_atom_site_fract_z
Li1 Li 0.0000 0.1428 0.0234
H1 H 0.0000 0.3743 0.7500
S1 S 0.0000 0.4056 0.2500
```

***

Arrangement 3

The following is a PBE calculation of a geometry-optimized Li2HS structure, from Alexandria.

```
data_Li2HS
_chemical_formula_sum 'Li8 H4 S4'
_cell_length_a 5.5208
_cell_length_b 5.5208
_cell_length_c 6.7034
_cell_angle_alpha 90.00
_cell_angle_beta 90.00
_cell_angle_gamma 90.00
_space_group_name_H-M_alt 'I -4 2 d'
_space_group_IT_number 122
_space_group_name_Hall 'I -4 2bw'
loop_
_atom_site_label
_atom_site_type_symbol
_atom_site_fract_x
_atom_site_fract_y
_atom_site_fract_z
Li1 Li 0.1579 0.2500 0.1250
H1 H 0.0000 0.0000 0.0000
S1 S 0.0000 0.0000 0.5000
```

***

Short version: arrangement 1, arrangement 3, arrangement 2, most stable first.